First-principles (PBE) data for AcTe2H2 after structural relaxation, as listed in Alexandria.

Structure (POSCAR):
```
AcTe2H2
1.0
7.534 0.000 0.000
-3.767 4.923 -0.314
0.000 1.395 6.246
Te Ac H
4 2 4
Cartesian
4.480 2.365 4.173
-0.713 3.953 1.759
3.054 1.668 1.050
0.713 4.650 4.882
6.197 0.349 1.561
-2.430 5.969 4.370
3.744 4.462 3.102
0.023 1.855 2.829
3.790 3.765 -0.021
-0.023 2.553 5.952
```

Output
Total energy = -3.796 eV per atom
Magnetic moment = 0.0000 μB/atom



First-principles (PBE) data for GdHo2Pb after structural relaxation, as listed in Alexandria.

Structure (POSCAR):
```
GdHo2Pb
1.0
-2.257 -3.900 1.681
1.550 -2.561 -3.859
4.024 -1.269 2.459
Ho Pb Gd
2 1 1
Cartesian
0.775 -1.280 -1.929
2.012 -0.635 1.229
-1.129 -1.950 0.841
1.658 -3.865 0.141
```

Output
Excess energy over the best structure of this formula in the dataset = 0 meV/atom
E_form = -0.291 eV per atom
Magnetic moment = 1.9407 μB/atom



First-principles (PBE) data for TiCd2Ru after structural relaxation, as listed in Alexandria.

Structure (POSCAR):
```
TiCd2Ru
1.0
7.686 0.000 0.000
0.000 7.686 0.000
3.843 3.843 2.638
Ti Cd Ru
2 4 2
Cartesian
3.843 7.686 1.319
3.843 3.843 0.000
1.787 5.764 0.659
5.764 5.630 1.978
9.607 9.741 1.978
5.899 1.921 0.659
7.686 3.843 1.319
0.000 0.000 0.000
```

Output
Excess energy over the best structure of this formula in the dataset = 326 meV/atom
E_form = 0.535 eV per atom
Magnetic moment = 0.0650 μB/atom



First-principles (PBE) data for GdThMnTc after structural relaxation, as listed in Alexandria.

Structure (POSCAR):
```
GdThMnTc
1.0
4.997 0.000 0.000
2.498 4.327 0.000
2.498 1.442 4.080
Gd Mn Th Tc
1 1 1 1
Cartesian
4.997 2.885 2.040
2.498 1.442 1.020
0.000 0.000 0.000
7.495 4.327 3.060
```

Output
E_form = 0.101 eV per atom
Magnetic moment = 0.9193 μB/atom



First-principles (PBE) data for CaHgSe2 after structural relaxation, as listed in Alexandria.

Structure (POSCAR):
```
CaHgSe2
1.0
3.986 0.000 0.000
0.000 3.985 -0.001
0.000 4.051 7.337
Se Hg Ca
2 1 1
Cartesian
0.000 4.022 0.606
0.000 3.981 3.061
1.993 6.027 5.502
1.993 2.009 1.834
```

Output
Formation energy without anion corrections = -0.869 eV/atom
Magnetic moment = 0.0000 μB/atom



First-principles (PBE) data for TbAgC2O8 after structural relaxation, as listed in Alexandria.

Structure (POSCAR):
```
TbAgC2O8
1.0
5.214 0.000 0.000
-2.607 4.516 0.000
0.000 0.000 6.736
O Tb C Ag
8 1 2 1
Cartesian
3.738 0.852 1.467
0.000 3.011 3.465
2.607 2.811 1.467
0.000 1.705 5.269
-1.131 3.663 5.269
1.476 0.852 1.467
2.607 1.505 3.271
1.131 3.663 5.269
0.000 0.000 0.000
2.607 1.505 1.897
0.000 3.011 4.839
0.000 0.000 3.368
```

Output
Formation energy without anion corrections = -1.040 eV/atom
Magnetic moment = 0.3345 μB/atom